EuErScTl after structural relaxation, computed with PBE.

The calculated volume is 28.576 Å³/atom. The formation energy comes out at -0.018 eV per atom.

The structure belongs to space group F-43m (No. 216); the cell edges are 7.704, 7.704 and 7.704 Å and the angles 90.00°, 90.00° and 90.00°. The asymmetric unit holds Eu at (0.000, 0.000, 0.000), Er at (0.000, 0.000, 0.500), Sc at (0.250, 0.250, 0.750) and Tl at (0.250, 0.250, 0.250).